VASP calculation (PBE-GGA) on a geometry-optimized TbBiNO structure.

polymorph energy (0 for the lowest one): 21.6 kJ/mol of atoms
total DFT energy (no corrections): -6.574 eV per atom
ρ: 8.9 g/cm³

a b c (Å): 3.321 3.433 6.677
angles (deg): 90.00 101.54 90.00
Element x y z (fractional)
Tb: 0.000 0.000 0.000
Bi: 0.324 0.500 0.556
N: 0.467 0.500 0.924
O: 0.162 0.000 0.325